{
  "formula": "CaSm2DyAs4",
  "functional": "PBE",
  "state": "optimized geometry",
  "cell": [[7.259, 0.000, 0.000], [0.000, 4.195, 0.000], [-2.432, 0.000, 6.879]],
  "species": ["Ca", "Sm", "Sm", "Dy", "As", "As", "As", "As"],
  "fractional_positions": [[0.000, 0.000, 0.000], [0.500, 0.000, 0.500], [0.500, 0.500, 0.000], [0.000, 0.500, 0.500], [0.247, 0.000, 0.745], [0.251, 0.500, 0.255], [0.749, 0.500, 0.745], [0.753, 0.000, 0.255]],
  "sg": "P2/m, No. 10",
  "n_ef_per_ev_atom": 0.5343,
  "formation_energy_mev_per_atom": -1361
}



{
  "formula": "Dy12Y5Er",
  "functional": "PBE",
  "state": "optimized geometry",
  "cell": [[7.520, -7.535, 0.000], [7.520, 7.535, 0.000], [0.000, 0.000, 5.015]],
  "species": ["Dy", "Dy", "Dy", "Dy", "Dy", "Dy", "Dy", "Dy", "Dy", "Dy", "Dy", "Dy", "Y", "Y", "Y", "Y", "Y", "Er"],
  "fractional_positions": [[0.001, 0.333, 0.500], [0.165, 0.499, 0.000], [0.167, 0.167, 0.000], [0.332, 0.332, 0.500], [0.333, 0.001, 0.500], [0.499, 0.165, 0.000], [0.501, 0.835, 0.000], [0.667, 0.999, 0.500], [0.668, 0.668, 0.500], [0.833, 0.833, 0.000], [0.835, 0.501, 0.000], [0.999, 0.667, 0.500], [0.166, 0.834, 0.000], [0.333, 0.667, 0.500], [0.500, 0.500, 0.000], [0.667, 0.333, 0.500], [0.834, 0.166, 0.000], [0.000, 0.000, 0.500]],
  "sg": "Cmmm, No. 65",
  "n_ef_per_ev_atom": 1.4008,
  "formation_energy_mev_per_atom": 21
}



{
  "formula": "La2Ge3Au5",
  "functional": "PBE",
  "state": "optimized geometry",
  "cell": [[4.528, 0.000, 0.000], [0.000, 4.528, 0.000], [0.000, 0.000, 10.943]],
  "species": ["La", "La", "Ge", "Ge", "Ge", "Au", "Au", "Au", "Au", "Au"],
  "fractional_positions": [[0.000, 0.500, 0.237], [0.500, 0.000, 0.763], [0.000, 0.500, 0.625], [0.500, 0.000, 0.375], [0.500, 0.500, 0.500], [0.000, 0.000, 0.000], [0.000, 0.000, 0.500], [0.000, 0.500, 0.849], [0.500, 0.000, 0.151], [0.500, 0.500, 0.000]],
  "polymorph_energy_mev_per_atom": 115,
  "sg": "P-4m2, No. 115",
  "n_ef_per_ev_atom": 0.6643,
  "formation_energy_mev_per_atom": -481
}



{
  "formula": "NdMgCd5Ag2",
  "functional": "PBE",
  "state": "optimized geometry",
  "cell": [[5.172, 0.000, 0.000], [0.000, 5.172, 0.000], [0.000, 0.000, 8.169]],
  "species": ["Nd", "Mg", "Cd", "Cd", "Cd", "Cd", "Cd", "Ag", "Ag"],
  "fractional_positions": [[0.000, 0.000, 0.000], [0.000, 0.000, 0.500], [0.000, 0.500, 0.246], [0.000, 0.500, 0.754], [0.500, 0.000, 0.246], [0.500, 0.000, 0.754], [0.500, 0.500, 0.000], [0.500, 0.500, 0.341], [0.500, 0.500, 0.659]],
  "sg": "P4/mmm, No. 123",
  "n_ef_per_ev_atom": 0.3711,
  "formation_energy_mev_per_atom": -1
}



{
  "formula": "Pr6Nd2Tm3",
  "functional": "PBE",
  "state": "optimized geometry",
  "cell": [[6.641, 0.000, 0.000], [0.329, 6.839, 0.000], [2.539, 1.672, 8.323]],
  "species": ["Pr", "Pr", "Pr", "Pr", "Pr", "Pr", "Nd", "Nd", "Tm", "Tm", "Tm"],
  "fractional_positions": [[0.037, 0.495, 0.302], [0.099, 0.203, 0.029], [0.408, 0.869, 0.208], [0.592, 0.131, 0.792], [0.901, 0.797, 0.971], [0.963, 0.505, 0.698], [0.219, 0.034, 0.576], [0.781, 0.966, 0.424], [0.416, 0.650, 0.859], [0.500, 0.500, 0.500], [0.584, 0.350, 0.141]],
  "polymorph_energy_mev_per_atom": 0,
  "sg": "P-1, No. 2",
  "n_ef_per_ev_atom": 1.4559,
  "formation_energy_mev_per_atom": 83
}



{
  "formula": "Np3Tl2S6",
  "functional": "PBE",
  "state": "optimized geometry",
  "cell": [[3.487, -6.038, 0.000], [3.487, 6.038, 0.000], [-2.322, 0.000, 7.520]],
  "species": ["Np", "Np", "Np", "Tl", "Tl", "S", "S", "S", "S", "S", "S"],
  "fractional_positions": [[0.000, 0.000, 0.000], [0.334, 0.666, 0.000], [0.666, 0.334, 0.000], [0.167, 0.833, 0.500], [0.833, 0.167, 0.500], [0.062, 0.397, 0.190], [0.268, 0.268, 0.809], [0.397, 0.062, 0.190], [0.603, 0.938, 0.810], [0.732, 0.732, 0.191], [0.938, 0.603, 0.810]],
  "e_form_raw_ev_per_atom": -1.1331,
  "sg": "C2/m, No. 12",
  "n_ef_per_ev_atom": 2.5452
}



{
  "formula": "SiHgMo2",
  "functional": "PBE",
  "state": "optimized geometry",
  "cell": [[-1.924, 1.924, 9.733], [1.924, -1.924, 9.733], [1.924, 1.924, -9.733]],
  "species": ["Si", "Si", "Hg", "Hg", "Mo", "Mo", "Mo", "Mo"],
  "fractional_positions": [[0.000, 0.000, 0.000], [0.750, 0.250, 0.500], [0.250, 0.750, 0.500], [0.500, 0.500, 0.000], [0.078, 0.625, 0.953], [0.375, 0.328, 0.453], [0.672, 0.125, 0.047], [0.875, 0.922, 0.547]],
  "e_form_raw_ev_per_atom": 0.6768,
  "polymorph_energy_mev_per_atom": 504,
  "sg": "I-42d, No. 122",
  "n_ef_per_ev_atom": 0.8672
}



{
  "formula": "Rb2Ba2BiO6",
  "functional": "PBE",
  "state": "optimized geometry",
  "cell": [[3.366, -5.682, 0.000], [3.366, 5.682, 0.000], [-1.940, 0.000, 6.756]],
  "species": ["Rb", "Rb", "Ba", "Ba", "Bi", "O", "O", "O", "O", "O", "O"],
  "fractional_positions": [[0.157, 0.843, 0.000], [0.843, 0.157, 0.000], [0.339, 0.661, 0.500], [0.661, 0.339, 0.500], [0.000, 0.000, 0.500], [0.042, 0.325, 0.675], [0.211, 0.211, 0.316], [0.325, 0.042, 0.675], [0.675, 0.958, 0.325], [0.789, 0.789, 0.684], [0.958, 0.675, 0.325]],
  "e_form_raw_ev_per_atom": -1.5788,
  "sg": "C2/m, No. 12",
  "n_ef_per_ev_atom": 0.7402
}



{
  "formula": "KFeGe2",
  "functional": "PBE",
  "state": "optimized geometry",
  "cell": [[-3.050, 3.050, 6.305], [3.050, -3.050, 6.305], [3.050, 3.050, -6.305]],
  "species": ["K", "K", "Fe", "Fe", "Ge", "Ge", "Ge", "Ge"],
  "fractional_positions": [[0.375, 0.625, 0.750], [0.625, 0.375, 0.250], [0.125, 0.875, 0.250], [0.875, 0.125, 0.750], [0.000, 0.000, 0.000], [0.000, 0.000, 0.500], [0.000, 0.500, 0.000], [0.500, 0.000, 0.500]],
  "sg": "I4_1/amd, No. 141",
  "n_ef_per_ev_atom": 0.4702,
  "formation_energy_mev_per_atom": 60
}



{
  "formula": "TaTiSe2",
  "functional": "PBE",
  "state": "optimized geometry",
  "cell": [[-2.999, 2.999, 5.416], [2.999, -2.999, 5.416], [2.999, 2.999, -5.416]],
  "species": ["Ta", "Ta", "Ti", "Ti", "Se", "Se", "Se", "Se"],
  "fractional_positions": [[0.000, 0.000, 0.000], [0.750, 0.250, 0.500], [0.250, 0.750, 0.500], [0.500, 0.500, 0.000], [0.127, 0.625, 0.002], [0.375, 0.377, 0.502], [0.623, 0.125, 0.998], [0.875, 0.873, 0.498]],
  "e_form_raw_ev_per_atom": -0.0761,
  "polymorph_energy_mev_per_atom": 418,
  "sg": "I-42d, No. 122",
  "n_ef_per_ev_atom": 1.5317
}



{
  "formula": "TbThIr2",
  "functional": "PBE",
  "state": "optimized geometry",
  "cell": [[4.229, 0.000, 0.000], [0.000, 1.957, 5.453], [0.000, -1.957, 5.453]],
  "species": ["Tb", "Th", "Ir", "Ir"],
  "fractional_positions": [[0.000, 0.000, 0.000], [0.500, 0.719, 0.719], [0.000, 0.270, 0.270], [0.500, 0.451, 0.451]],
  "polymorph_energy_mev_per_atom": 0,
  "sg": "Amm2, No. 38",
  "n_ef_per_ev_atom": 0.4483,
  "formation_energy_mev_per_atom": -905
}



{
  "formula": "Sb3C5",
  "functional": "PBE",
  "state": "optimized geometry",
  "cell": [[3.148, -6.068, 0.000], [3.148, 6.068, 0.000], [-1.868, 0.000, 8.435]],
  "species": ["Sb", "Sb", "Sb", "Sb", "Sb", "Sb", "C", "C", "C", "C", "C", "C", "C", "C", "C", "C"],
  "fractional_positions": [[0.000, 0.000, 0.000], [0.111, 0.111, 0.376], [0.227, 0.676, 0.826], [0.455, 0.700, 0.263], [0.676, 0.227, 0.826], [0.700, 0.455, 0.263], [0.210, 0.825, 0.057], [0.260, 0.865, 0.213], [0.309, 0.309, 0.195], [0.409, 0.512, 0.872], [0.512, 0.409, 0.872], [0.595, 0.700, 0.505], [0.700, 0.595, 0.505], [0.806, 0.806, 0.195], [0.825, 0.210, 0.057], [0.865, 0.260, 0.213]],
  "e_form_raw_ev_per_atom": 1.4303,
  "polymorph_energy_mev_per_atom": 197,
  "sg": "Cm, No. 8",
  "n_ef_per_ev_atom": 0.1937
}



Number 1: total energy -5.69 eV per atom. Number 2: total energy -5.10 eV per atom. Number 3: total energy -4.49 eV per atom. Number 4: total energy -1.85 eV per atom. Number 5: total energy -4.61 eV per atom. Number 6: total energy -7.34 eV per atom. Number 7: total energy -6.17 eV per atom. Number 8: total energy -5.16 eV per atom. Number 9: total energy -4.64 eV per atom. Number 10: total energy -6.76 eV per atom. Number 11: total energy -8.35 eV per atom. Number 12: total energy -5.88 eV per atom.